! InWO4F, optimized geometry, DFT PBE with a Hubbard U; values from VASP
! M_tot = 0.000 Bohr magnetons per cell
! Raw total energy = -6.464 eV per atom
! Crystal system = monoclinic
&SYSTEM
  ibrav = 0, nat = 14, ntyp = 4
/
ATOMIC_SPECIES
In 114.82 In.upf
O 16.00 O.upf
W 183.84 W.upf
F 19.00 F.upf
CELL_PARAMETERS angstrom
5.8339 -0.2975 0.8236
1.6517 5.6031 0.8236
2.3767 1.6845 8.2899
ATOMIC_POSITIONS angstrom
In 3.2155 2.2791 6.9477
O 6.0495 6.0931 7.6867
O 7.7529 3.6897 7.6867
W 6.4178 4.5488 6.8155
O 3.8129 0.8971 2.2505
In 6.6468 4.7111 2.9895
W 3.4445 2.4414 3.1217
O 4.9472 3.5065 6.7434
O 2.1094 3.3005 2.2505
F 0.8609 0.6102 0.7950
F 9.0014 6.3800 9.1422
O 2.9131 2.0647 4.8162
O 6.9492 4.9254 5.1210
O 4.9151 3.4837 3.1938

! InWO2F, optimized geometry, DFT PBE with a Hubbard U; values from VASP
! M_tot = 2.000 Bohr magnetons per cell
! Raw total energy = -5.962 eV per atom
! Crystal system = tetragonal
&SYSTEM
  ibrav = 0, nat = 5, ntyp = 4
/
ATOMIC_SPECIES
O 16.00 O.upf
F 19.00 F.upf
In 114.82 In.upf
W 183.84 W.upf
CELL_PARAMETERS angstrom
-0.8457 0.0855 -4.0071
-4.0048 -0.1797 0.8414
-0.1694 4.3786 0.1292
ATOMIC_POSITIONS angstrom
O -0.4229 0.0427 -2.0035
F -0.0847 2.1893 0.0646
In -2.5100 2.1422 -1.5182
W 0.0000 0.0000 0.0000
O -2.0024 -0.0899 0.4207

! InWO2F, optimized geometry, DFT PBE with a Hubbard U; values from VASP
! M_tot = 3.937 Bohr magnetons per cell
! Raw total energy = -4.981 eV per atom
! Crystal system = tetragonal
&SYSTEM
  ibrav = 0, nat = 5, ntyp = 4
/
ATOMIC_SPECIES
O 16.00 O.upf
F 19.00 F.upf
W 183.84 W.upf
In 114.82 In.upf
CELL_PARAMETERS angstrom
4.2336 0.0000 0.0000
0.0000 4.2336 0.0000
0.0000 0.0000 4.1623
ATOMIC_POSITIONS angstrom
O 2.1168 0.0000 0.0000
F 0.0000 0.0000 2.0812
W 2.1168 2.1168 2.0812
In 0.0000 0.0000 0.0000
O 0.0000 2.1168 0.0000

! In3WO6F2, optimized geometry, DFT PBE with a Hubbard U; values from VASP
! M_tot = 0.990 Bohr magnetons per cell
! Raw total energy = -5.869 eV per atom
! Crystal system = monoclinic
&SYSTEM
  ibrav = 0, nat = 12, ntyp = 4
/
ATOMIC_SPECIES
O 16.00 O.upf
F 19.00 F.upf
In 114.82 In.upf
W 183.84 W.upf
CELL_PARAMETERS angstrom
4.6673 0.0000 0.4375
0.0000 6.2353 0.0000
-0.1232 -3.1177 5.6102
ATOMIC_POSITIONS angstrom
O 3.3614 4.7432 1.1185
F 3.5481 0.0000 4.0303
O 3.2498 3.1177 4.0508
In 2.2721 -1.5588 3.0239
O 1.2944 0.0000 1.9969
In 2.2721 1.5588 3.0239
In 0.0000 3.1177 0.0000
F 0.9960 3.1176 2.0174
W 2.3336 0.0000 0.2188
O 1.1827 1.6255 4.9292
O 3.3614 1.4921 1.1185
O 1.1827 -1.6255 4.9292